(1)
NdMgPt2: optimized geometry, PBE.

Results
Space group ... P4/mmm, No. 123
Energy of formation from the pure elements ... -0.917 eV/atom

Geometry as POSCAR:
```
NdMgPt2
1.0
3.438 0.000 0.000
0.000 3.438 0.000
0.000 0.000 6.720
Pt Nd Mg
2 1 1
Direct
0.000 0.000 0.783 Pt
0.000 0.000 0.217 Pt
0.500 0.500 0.500 Nd
0.500 0.500 0.000 Mg
```


(2)
Pm4Al2TlIn: optimized geometry, PBE.

Results
Space group ... R-3m, No. 166
Energy of formation from the pure elements ... -0.383 eV/atom

Geometry as POSCAR:
```
Pm4Al2TlIn
1.0
5.356 0.000 0.000
2.678 4.638 0.000
2.678 1.546 8.759
Al Pm In Tl
2 4 1 1
Direct
0.750 0.750 0.749 Al
0.250 0.250 0.251 Al
0.375 0.375 0.874 Pm
0.875 0.875 0.375 Pm
0.625 0.625 0.126 Pm
0.125 0.125 0.625 Pm
0.500 0.500 0.500 In
0.000 0.000 0.000 Tl
```


(3)
CuReSb2: optimized geometry, PBE.

Results
Distance to the lowest polymorph of the same formula ... 0 meV per atom
Space group ... Pm, No. 6
Formation energy (no corrections) ... 0.322 eV/atom

Geometry as POSCAR:
```
CuReSb2
1.0
-3.021 3.285 -0.050
-2.325 -2.157 -1.215
-2.500 -2.239 3.992
Cu Sb Re
1 2 1
Direct
0.000 0.707 0.458 Cu
0.000 0.975 0.924 Sb
0.500 0.268 0.342 Sb
0.500 0.550 0.776 Re
```